A relaxed structure of Na2Mn2PO6, computed with GGA+U.

Lattice parameters (Å, degrees): 4.9831 4.9831 5.7189 98.91 98.91 119.73
Closest atoms and distances in Å follow each position.
Fractional coordinates of all 11 atoms:
Na  0.1702  0.8298  0.0000  6 O 2.35-2.50
Na  0.8298  0.1702  0.0000  6 O 2.35-2.50
Mn  0.3319  0.6681  0.5000  6 O 2.01-2.04
Mn  0.6681  0.3319  0.5000  6 O 2.01-2.04
P  0.0000  0.0000  0.5000  6 O 1.74-1.77
O  0.0619  0.3571  0.6814  1 P 1.77
O  0.2257  0.2257  0.3223  1 P 1.74
O  0.3571  0.0619  0.6814  1 P 1.77
O  0.6429  0.9381  0.3186  1 P 1.77
O  0.7743  0.7743  0.6777  1 P 1.74
O  0.9381  0.6429  0.3186  1 P 1.77

Results
Calculated total energy ... -68.61 eV for the cell shown
ρ ... 4.0 Mg/m³